No. 1
Crystalline KMgAl at its relaxed geometry, computed with PBE.

```
KMgAl
1.0
5.686 0.000 -0.004
0.000 4.981 0.000
-2.768 0.000 6.582
K Mg Al
2 2 2
Direct
0.387 0.000 0.421
0.928 0.500 0.414
0.024 0.000 0.866
0.738 0.500 0.863
0.318 0.500 0.996
0.572 0.000 0.995
```

Summary:
E above lowest polymorph = 37 meV/atom
DOS at the Fermi energy = 1.34 states/eV per cell
Magnetic moment = 0.00 μB/cell
Formation enthalpy at 0 K = 0.43 eV/f.u.

---

No. 2
Crystalline V2HIrPt at its relaxed geometry, computed with PBE.

```
V2HIrPt
1.0
3.879 0.000 0.000
0.000 3.879 0.000
0.000 0.000 3.863
H Ir Pt V
1 1 1 2
Direct
0.000 0.000 0.000
0.000 0.000 0.500
0.500 0.500 0.500
0.000 0.500 0.000
0.500 0.000 0.000
```

Summary:
E above lowest polymorph = 0 meV/atom
DOS at the Fermi energy = 1.99 states/eV per cell
Magnetic moment = 0.00 μB/cell